Density functional theory data (PBE) for a geometry-optimized Cs6ScTe4 structure.

The formation energy (no corrections) comes out at -1.063 eV/atom. For the electronic total energy, the calculation gives -3.25 eV/atom.

Lattice parameters (Å, degrees): 12.1307 12.1307 9.2477 90.00 90.00 120.00
Space group P6_3mc (No. 186)
Asymmetric unit:
1 Cs 0.0591 0.5296 0.0000 (multiplicity 6)
2 Cs 0.1343 0.2686 0.3115 (multiplicity 6)
3 Sc 0.3333 0.6667 0.6033 (multiplicity 2)
4 Te 0.2063 0.4126 0.7019 (multiplicity 6)
5 Te 0.3333 0.6667 0.2982 (multiplicity 2)